Record 1
First-principles (GGA-PBE) data for a relaxed MnAsSeN2 crystal, as listed in Alexandria.

Structure (POSCAR):
```
MnAsSeN2
1.0
3.686 0.000 0.000
0.000 3.686 0.000
0.000 0.000 6.277
Mn As Se N
1 1 1 2
direct
0.000 0.000 0.000
0.500 0.500 0.500
0.500 0.500 0.000
0.000 0.500 0.500
0.500 0.000 0.500
```

Results
Raw total energy, eV/atom: -5.711
Polymorph energy (0 for the lowest one), kJ/mol of formula units: 155.0

Record 2
First-principles (GGA-PBE) data for a relaxed MnAs2SeN crystal, as listed in Alexandria.

Structure (POSCAR):
```
MnAs2SeN
1.0
4.316 0.000 0.000
0.000 4.316 0.000
0.000 0.000 4.464
Mn As Se N
1 2 1 1
direct
0.000 0.000 0.000
0.000 0.500 0.500
0.500 0.000 0.500
0.500 0.500 0.000
0.500 0.500 0.500
```

Results
Raw total energy, eV/atom: -5.268
Polymorph energy (0 for the lowest one), kJ/mol of formula units: 0.0

Record 3
First-principles (GGA-PBE) data for a relaxed Mn2SnAsN crystal, as listed in Alexandria.

Structure (POSCAR):
```
Mn2SnAsN
1.0
3.980 0.000 0.000
0.000 3.980 0.000
0.000 0.000 5.074
Mn Sn As N
2 1 1 1
direct
0.000 0.500 0.000
0.500 0.000 0.000
0.000 0.000 0.500
0.500 0.500 0.500
0.000 0.000 0.000
```

Results
Raw total energy, eV/atom: -6.809

Record 4
First-principles (GGA-PBE) data for a relaxed MnTcAsN2 crystal, as listed in Alexandria.

Structure (POSCAR):
```
MnTcAsN2
1.0
3.618 0.000 0.000
0.000 3.618 0.000
0.000 0.000 5.171
Mn Tc As N
1 1 1 2
direct
0.000 0.000 0.000
0.500 0.500 0.500
0.000 0.000 0.500
0.000 0.500 0.000
0.500 0.000 0.000
```

Results
Raw total energy, eV/atom: -7.215

Record 5
First-principles (GGA-PBE) data for a relaxed Mn2TcAsN crystal, as listed in Alexandria.

Structure (POSCAR):
```
Mn2TcAsN
1.0
4.927 0.000 0.000
0.000 4.927 0.000
0.000 0.000 3.715
Mn Tc As N
2 1 1 1
direct
0.000 0.500 0.000
0.500 0.000 0.000
0.000 0.000 0.000
0.500 0.500 0.500
0.000 0.000 0.500
```

Results
Raw total energy, eV/atom: -7.533

Record 6
First-principles (GGA-PBE) data for a relaxed MnTe2AsN crystal, as listed in Alexandria.

Structure (POSCAR):
```
MnTe2AsN
1.0
5.277 0.000 0.000
0.000 5.277 0.000
0.000 0.000 3.488
Mn Te As N
1 2 1 1
direct
0.000 0.000 0.000
0.000 0.500 0.000
0.500 0.000 0.000
0.500 0.500 0.500
0.000 0.000 0.500
```

Results
Raw total energy, eV/atom: -5.390
Polymorph energy (0 for the lowest one), kJ/mol of formula units: 0.0

Record 7
First-principles (GGA-PBE) data for a relaxed MnTe2AsN crystal, as listed in Alexandria.

Structure (POSCAR):
```
MnTe2AsN
1.0
5.650 0.000 0.000
0.000 5.650 0.000
0.000 0.000 3.617
Mn Te As N
1 2 1 1
direct
0.000 0.000 0.000
0.000 0.500 0.500
0.500 0.000 0.500
0.500 0.500 0.500
0.500 0.500 0.000
```

Results
Raw total energy, eV/atom: -4.816
Polymorph energy (0 for the lowest one), kJ/mol of formula units: 276.8

Record 8
First-principles (GGA-PBE) data for a relaxed Mn2TlAsN crystal, as listed in Alexandria.

Structure (POSCAR):
```
Mn2TlAsN
1.0
4.003 0.000 0.000
0.000 4.003 0.000
0.000 0.000 5.503
Mn Tl As N
2 1 1 1
direct
0.000 0.500 0.000
0.500 0.000 0.000
0.000 0.000 0.500
0.500 0.500 0.500
0.000 0.000 0.000
```

Results
Raw total energy, eV/atom: -6.376

Q: The highest raw total energy belongs to which entry?
A: number 7